Record 1
{
  "formula": "TiGa2H",
  "functional": "PBE",
  "state": "relaxed",
  "lattice": [[6.476, 0.000, 0.000], [0.000, 6.476, 0.000], [3.238, 3.238, 2.567]],
  "species": ["H", "H", "Ga", "Ga", "Ga", "Ga", "Ti", "Ti"],
  "frac_coords": [[0.500, 0.500, 0.000], [0.250, 0.750, 0.500], [0.547, 0.125, 0.250], [0.203, 0.625, 0.250], [0.375, 0.453, 0.750], [0.875, 0.797, 0.750], [0.000, 0.000, 0.000], [0.750, 0.250, 0.500]],
  "magnetic_moment_mub_per_fu": 0.0,
  "dft_energy_ev_per_atom": -4.24
}

***

Record 2
{
  "formula": "KTi3NbO9",
  "functional": "PBE",
  "state": "relaxed",
  "lattice": [[-0.450, -1.622, -3.438], [4.269, -4.582, 1.603], [-11.223, -8.533, 5.493]],
  "species": ["K", "K", "Ti", "Ti", "Ti", "Ti", "Ti", "Ti", "Nb", "Nb", "O", "O", "O", "O", "O", "O", "O", "O", "O", "O", "O", "O", "O", "O", "O", "O", "O", "O"],
  "frac_coords": [[0.500, 0.243, 0.247], [0.000, 0.757, 0.747], [0.000, 0.307, 0.462], [0.000, 0.316, 0.047], [0.500, 0.684, 0.547], [0.500, 0.693, 0.962], [0.000, 0.768, 0.121], [0.500, 0.232, 0.621], [0.000, 0.760, 0.369], [0.500, 0.240, 0.869], [0.000, 0.656, 0.991], [0.000, 0.648, 0.511], [0.500, 0.352, 0.011], [0.500, 0.344, 0.491], [0.000, 0.828, 0.248], [0.500, 0.172, 0.748], [0.000, 0.059, 0.410], [0.000, 0.065, 0.095], [0.500, 0.935, 0.595], [0.500, 0.941, 0.910], [0.000, 0.459, 0.354], [0.000, 0.472, 0.147], [0.500, 0.528, 0.647], [0.500, 0.541, 0.854], [0.000, 0.242, 0.903], [0.000, 0.236, 0.595], [0.500, 0.764, 0.095], [0.500, 0.758, 0.403]],
  "magnetic_moment_mub_per_fu": 0.0,
  "e_form_raw_ev_per_atom": -2.827
}

***

Record 3
{
  "formula": "Bi6P2O15",
  "functional": "PBE",
  "state": "relaxed",
  "lattice": [[-11.476, -0.241, 1.698], [3.717, -2.904, -10.602], [0.368, -5.673, 1.683]],
  "species": ["Bi", "Bi", "Bi", "Bi", "Bi", "Bi", "Bi", "Bi", "Bi", "Bi", "Bi", "Bi", "P", "P", "P", "P", "O", "O", "O", "O", "O", "O", "O", "O", "O", "O", "O", "O", "O", "O", "O", "O", "O", "O", "O", "O", "O", "O", "O", "O", "O", "O", "O", "O", "O", "O"],
  "frac_coords": [[0.178, 0.049, 0.726], [0.049, 0.178, 0.226], [0.410, 0.261, 0.340], [0.261, 0.410, 0.840], [0.696, 0.107, 0.325], [0.107, 0.696, 0.825], [0.893, 0.304, 0.825], [0.304, 0.893, 0.325], [0.590, 0.739, 0.340], [0.739, 0.590, 0.840], [0.951, 0.822, 0.226], [0.822, 0.951, 0.726], [0.549, 0.233, 0.849], [0.233, 0.549, 0.349], [0.767, 0.451, 0.349], [0.451, 0.767, 0.849], [0.258, 0.065, 0.374], [0.065, 0.258, 0.874], [0.273, 0.288, 0.117], [0.288, 0.273, 0.617], [0.449, 0.154, 0.037], [0.154, 0.449, 0.537], [0.497, 0.165, 0.618], [0.165, 0.497, 0.118], [0.371, 0.562, 0.342], [0.562, 0.371, 0.842], [0.675, 0.225, 0.915], [0.225, 0.675, 0.415], [0.832, 0.144, 0.603], [0.144, 0.832, 0.103], [0.000, 0.000, 0.041], [0.000, 0.000, 0.541], [0.856, 0.168, 0.103], [0.168, 0.856, 0.603], [0.775, 0.325, 0.415], [0.325, 0.775, 0.915], [0.629, 0.438, 0.342], [0.438, 0.629, 0.842], [0.503, 0.835, 0.618], [0.835, 0.503, 0.118], [0.846, 0.551, 0.537], [0.551, 0.846, 0.037], [0.727, 0.712, 0.117], [0.712, 0.727, 0.617], [0.935, 0.742, 0.874], [0.742, 0.935, 0.374]],
  "magnetic_moment_mub_per_fu": 0.0,
  "e_form_raw_ev_per_atom": -1.493
}